Entry from the Alexandria database: a relaxed Y2SnHg crystal (PBE).

Lattice parameters (Å, degrees): 3.492 5.899 12.363 90.00 90.00 90.00
Space group Immm (No. 71)
Asymmetric unit:
Y 0.000 0.000 0.246 (multiplicity 4)
Sn 0.000 0.000 0.500 (multiplicity 2)
Hg 0.000 0.000 0.000 (multiplicity 2)

---

Entry from the Alexandria database: a relaxed Ac7Tl4Rh crystal (PBE).

Lattice parameters (Å, degrees): 17.200 5.752 12.201 90.00 129.45 90.00
Space group C2/m (No. 12)
Asymmetric unit:
Ac 0.000 0.000 0.000 (multiplicity 2)
Ac 0.055 0.500 0.273 (multiplicity 4)
Ac 0.151 0.000 0.578 (multiplicity 4)
Ac 0.228 0.500 0.867 (multiplicity 4)
Tl 0.076 0.000 0.776 (multiplicity 4)
Tl 0.215 0.000 0.361 (multiplicity 4)
Rh 0.000 0.500 0.000 (multiplicity 2)

---

Entry from the Alexandria database: a relaxed MnRe2Hg crystal (PBE).

Lattice parameters (Å, degrees): 2.7768 2.7768 27.8672 90.00 90.00 120.00
Space group R-3m (No. 166, hexagonal axes)
Asymmetric unit:
Mn 0.0000 0.0000 0.0000 (multiplicity 3)
Re 0.0000 0.0000 0.2612 (multiplicity 6)
Hg 0.0000 0.0000 0.5000 (multiplicity 3)

---

Entry from the Alexandria database: a relaxed LaY2Rh crystal (PBE).

Calculated values
- Energy above the most stable polymorph in this dataset: 457 meV/atom

Lattice parameters (Å, degrees): 7.462 7.462 7.462 90.00 90.00 90.00
Space group F-43m (No. 216)
Asymmetric unit:
La 0.000 0.000 0.000 (multiplicity 4)
Y 0.000 0.000 0.500 (multiplicity 4)
Y 0.250 0.250 0.750 (multiplicity 4)
Rh 0.250 0.250 0.250 (multiplicity 4)

---

no.,formation energy from the elements (eV/atom),spin magnetization (μB per formula unit)
1,0.166,0.000
2,-0.179,0.000
3,0.463,0.414
4,-0.040,0.005